(1)
# CsPb2Cl6

Crystalline CsPb2Cl6 at its relaxed geometry (GGA-PBE, Alexandria via LeMat-Bulk).

Output
As for the raw formation energy: -1.1738 eV/atom.

abc: 7.109 7.109 13.360
angles: 90.00 90.00 90.00
Element x y z (fractional)
Cl1 0.777 0.223 0.698
Cl2 0.277 0.277 0.802
Cl3 0.223 0.777 0.302
Cl4 0.723 0.723 0.198
Cl5 0.167 0.833 0.000
Cl6 0.777 0.223 0.302
Cl7 0.333 0.333 0.500
Cl8 0.723 0.723 0.802
Cl9 0.223 0.777 0.698
Cl10 0.667 0.667 0.500
Cl11 0.277 0.277 0.198
Cl12 0.833 0.167 0.000
Pb1 0.500 0.500 0.330
Pb2 0.000 0.000 0.830
Pb3 0.500 0.500 0.670
Pb4 0.000 0.000 0.170
Cs1 0.000 0.000 0.500
Cs2 0.500 0.500 0.000

***

(2)
# Cs2PbCl

Crystalline Cs2PbCl at its relaxed geometry (GGA-PBE, Alexandria via LeMat-Bulk).

Output
For the offset from the most stable computed form, the calculation gives 0.069 eV per atom. As for the raw formation energy: -0.6206 eV/atom.

abc: 6.527 6.527 6.527
angles: 60.00 60.00 60.00
Site moments in Bohr magnetons follow the coordinates.
Element x y z (fractional)
Cs1 0.750 0.750 0.750  0.07
Cs2 0.250 0.250 0.250  0.07
Pb1 0.500 0.500 0.500  0.83
Cl1 0.000 0.000 0.000  0.07

***

(3)
# Cs5Pb3Cl12

Crystalline Cs5Pb3Cl12 at its relaxed geometry (GGA-PBE, Alexandria via LeMat-Bulk).

Output
As for the raw formation energy: -1.4201 eV/atom.

abc: 17.304 17.304 17.304
angles: 109.47 109.47 109.47
Element x y z (fractional)
Pb1 0.875 0.125 0.250
Pb2 0.250 0.125 0.375
Pb3 0.125 0.250 0.875
Pb4 0.125 0.875 0.750
Pb5 0.750 0.875 0.625
Pb6 0.625 0.250 0.375
Pb7 0.375 0.625 0.250
Pb8 0.750 0.375 0.125
Pb9 0.250 0.625 0.875
Pb10 0.875 0.750 0.125
Pb11 0.375 0.750 0.625
Pb12 0.625 0.375 0.750
Cs1 0.000 0.500 0.500
Cs2 0.625 0.875 0.250
Cs3 0.250 0.875 0.125
Cs4 0.500 0.000 0.000
Cs5 0.875 0.625 0.750
Cs6 0.750 0.625 0.375
Cs7 0.875 0.250 0.625
Cs8 0.000 0.000 0.500
Cs9 0.625 0.750 0.875
Cs10 0.250 0.375 0.625
Cs11 0.125 0.750 0.375
Cs12 0.375 0.125 0.750
Cs13 0.750 0.125 0.875
Cs14 0.500 0.500 0.500
Cs15 0.000 0.500 0.000
Cs16 0.375 0.250 0.125
Cs17 0.000 0.000 0.000
Cs18 0.500 0.000 0.500
Cs19 0.500 0.500 0.000
Cs20 0.125 0.375 0.250
Cl1 0.202 0.068 0.190
Cl2 0.190 0.622 0.488
Cl3 0.634 0.512 0.702
Cl4 0.568 0.378 0.366
Cl5 0.512 0.878 0.810
Cl6 0.798 0.866 0.488
Cl7 0.988 0.690 0.622
Cl8 0.866 0.068 0.378
Cl9 0.432 0.810 0.298
Cl10 0.366 0.878 0.568
Cl11 0.488 0.122 0.190
Cl12 0.866 0.798 0.988
Cl13 0.068 0.866 0.878
Cl14 0.068 0.202 0.690
Cl15 0.190 0.568 0.202
Cl16 0.702 0.012 0.634
Cl17 0.012 0.702 0.134
Cl18 0.810 0.378 0.512
Cl19 0.378 0.568 0.866
Cl20 0.702 0.690 0.568
Cl21 0.134 0.932 0.622
Cl22 0.134 0.202 0.012
Cl23 0.622 0.432 0.134
Cl24 0.988 0.298 0.866
Cl25 0.298 0.310 0.432
Cl26 0.432 0.622 0.634
Cl27 0.310 0.012 0.878
Cl28 0.810 0.432 0.798
Cl29 0.310 0.298 0.932
Cl30 0.798 0.932 0.810
Cl31 0.690 0.988 0.122
Cl32 0.690 0.702 0.068
Cl33 0.932 0.134 0.122
Cl34 0.622 0.190 0.988
Cl35 0.932 0.798 0.310
Cl36 0.488 0.366 0.798
Cl37 0.012 0.310 0.378
Cl38 0.568 0.190 0.702
Cl39 0.122 0.488 0.690
Cl40 0.878 0.512 0.310
Cl41 0.298 0.988 0.366
Cl42 0.202 0.134 0.512
Cl43 0.634 0.122 0.432
Cl44 0.512 0.634 0.202
Cl45 0.366 0.488 0.298
Cl46 0.878 0.366 0.068
Cl47 0.378 0.810 0.012
Cl48 0.122 0.634 0.932

***

(4)
# CsPb4Cl8

Crystalline CsPb4Cl8 at its relaxed geometry (GGA-PBE, Alexandria via LeMat-Bulk).

Output
For the offset from the most stable computed form, the calculation gives 0.038 eV per atom. As for the raw formation energy: -1.1017 eV/atom.

abc: 8.181 8.181 17.940
angles: 90.00 90.00 120.00
Site moments in Bohr magnetons follow the coordinates.
Element x y z (fractional)
Cl1 0.831 0.169 0.148  0.03
Cl2 0.333 0.667 0.147  0.01
Cl3 0.662 0.831 0.648  0.03
Cl4 0.667 0.333 0.853  0.01
Cl5 0.831 0.169 0.352  0.03
Cl6 0.169 0.831 0.648  0.03
Cl7 0.169 0.831 0.852  0.03
Cl8 0.338 0.169 0.148  0.03
Cl9 0.662 0.831 0.852  0.03
Cl10 0.831 0.662 0.148  0.03
Cl11 0.667 0.333 0.647  0.01
Cl12 0.338 0.169 0.352  0.03
Cl13 0.169 0.338 0.852  0.03
Cl14 0.333 0.667 0.353  0.01
Cl15 0.169 0.338 0.648  0.03
Cl16 0.831 0.662 0.352  0.03
Pb1 0.507 0.014 0.750  0.06
Pb2 0.000 0.000 0.250  0.08
Pb3 0.000 0.000 0.750  0.08
Pb4 0.986 0.493 0.750  0.06
Pb5 0.493 0.507 0.250  0.06
Pb6 0.507 0.493 0.750  0.06
Pb7 0.014 0.507 0.250  0.06
Pb8 0.493 0.986 0.250  0.06
Cs1 0.000 0.000 0.500  0.00
Cs2 0.000 0.000 0.000  0.00

***

(5)
# CsPbCl3

Crystalline CsPbCl3 at its relaxed geometry (GGA-PBE, Alexandria via LeMat-Bulk).

Output
As for the raw formation energy: -1.5321 eV/atom.

abc: 5.796 11.249 7.954
angles: 45.00 90.00 90.00
Element x y z (fractional)
Pb1 0.000 0.493 0.000
Pb2 0.000 0.993 0.000
Cs1 0.500 0.994 0.500
Cs2 0.500 0.493 0.500
Cl1 0.000 0.802 0.881
Cl2 0.500 0.492 0.001
Cl3 0.000 0.683 0.500
Cl4 0.500 0.993 0.999
Cl5 0.000 0.301 0.500
Cl6 0.000 0.184 0.119

***

(6)
# Cs2PbCl5

Crystalline Cs2PbCl5 at its relaxed geometry (GGA-PBE, Alexandria via LeMat-Bulk).

Output
For the offset from the most stable computed form, the calculation gives 0.000 eV per atom. As for the raw formation energy: -1.4610 eV/atom.

abc: 7.623 9.897 15.636
angles: 90.00 90.00 90.00
Element x y z (fractional)
Cs1 0.750 0.028 0.206
Cs2 0.250 0.667 0.082
Cs3 0.750 0.333 0.918
Cs4 0.250 0.167 0.418
Cs5 0.250 0.972 0.794
Cs6 0.250 0.472 0.706
Cs7 0.750 0.528 0.294
Cs8 0.750 0.833 0.582
Pb1 0.750 0.820 0.936
Pb2 0.250 0.180 0.064
Pb3 0.750 0.320 0.564
Pb4 0.250 0.680 0.436
Cl1 0.505 0.840 0.384
Cl2 0.250 0.293 0.902
Cl3 0.005 0.160 0.616
Cl4 0.250 0.532 0.293
Cl5 0.000 0.000 0.000
Cl6 0.505 0.340 0.116
Cl7 0.250 0.793 0.598
Cl8 0.500 0.500 0.500
Cl9 0.750 0.207 0.402
Cl10 0.495 0.160 0.616
Cl11 0.750 0.707 0.098
Cl12 0.500 0.000 0.000
Cl13 0.995 0.340 0.116
Cl14 0.750 0.968 0.793
Cl15 0.995 0.840 0.384
Cl16 0.005 0.660 0.884
Cl17 0.750 0.468 0.707
Cl18 0.250 0.032 0.207
Cl19 0.000 0.500 0.500
Cl20 0.495 0.660 0.884

***

(7)
# Cs12Pb3Cl5

Crystalline Cs12Pb3Cl5 at its relaxed geometry (GGA-PBE, Alexandria via LeMat-Bulk).

Output
As for the raw formation energy: -0.9250 eV/atom.

abc: 18.771 18.771 18.771
angles: 109.47 109.47 109.47
Site moments in Bohr magnetons follow the coordinates.
Element x y z (fractional)
Pb1 0.375 0.625 0.250  0.42
Pb2 0.250 0.125 0.375  0.42
Pb3 0.750 0.375 0.125  0.42
Pb4 0.625 0.250 0.375  0.42
Pb5 0.875 0.125 0.250  0.42
Pb6 0.125 0.250 0.875  0.42
Pb7 0.250 0.625 0.875  0.42
Pb8 0.750 0.875 0.625  0.42
Pb9 0.875 0.750 0.125  0.42
Pb10 0.375 0.750 0.625  0.42
Pb11 0.625 0.375 0.750  0.42
Pb12 0.125 0.875 0.750  0.42
Cs1 0.372 0.963 0.788  0.02
Cs2 0.288 0.417 0.826  0.02
Cs3 0.591 0.628 0.417  0.02
Cs4 0.712 0.583 0.174  0.02
Cs5 0.826 0.917 0.288  0.02
Cs6 0.174 0.091 0.963  0.02
Cs7 0.409 0.037 0.326  0.02
Cs8 0.417 0.288 0.326  0.02
Cs9 0.537 0.212 0.128  0.02
Cs10 0.917 0.826 0.788  0.02
Cs11 0.463 0.788 0.872  0.02
Cs12 0.409 0.372 0.583  0.02
Cs13 0.537 0.326 0.909  0.02
Cs14 0.628 0.037 0.212  0.02
Cs15 0.417 0.128 0.591  0.02
Cs16 0.674 0.212 0.583  0.02
Cs17 0.212 0.674 0.083  0.02
Cs18 0.326 0.537 0.409  0.02
Cs19 0.128 0.417 0.091  0.02
Cs20 0.463 0.674 0.091  0.02
Cs21 0.037 0.409 0.826  0.02
Cs22 0.372 0.409 0.083  0.02
Cs23 0.712 0.128 0.037  0.02
Cs24 0.091 0.174 0.463  0.02
Cs25 0.288 0.872 0.963  0.02
Cs26 0.037 0.628 0.712  0.02
Cs27 0.583 0.872 0.409  0.02
Cs28 0.174 0.083 0.712  0.02
Cs29 0.872 0.288 0.463  0.02
Cs30 0.872 0.583 0.909  0.02
Cs31 0.674 0.463 0.591  0.02
Cs32 0.083 0.174 0.212  0.02
Cs33 0.826 0.909 0.037  0.02
Cs34 0.591 0.963 0.674  0.02
Cs35 0.128 0.712 0.537  0.02
Cs36 0.326 0.788 0.417  0.02
Cs37 0.788 0.463 0.372  0.02
Cs38 0.963 0.372 0.288  0.02
Cs39 0.909 0.826 0.537  0.02
Cs40 0.212 0.537 0.628  0.02
Cs41 0.909 0.083 0.872  0.02
Cs42 0.788 0.326 0.917  0.02
Cs43 0.963 0.591 0.174  0.02
Cs44 0.628 0.591 0.917  0.02
Cs45 0.083 0.909 0.372  0.02
Cs46 0.583 0.712 0.674  0.02
Cs47 0.917 0.091 0.628  0.02
Cs48 0.091 0.917 0.128  0.02
Cl1 0.500 0.500 0.500  0.00
Cl2 0.500 0.000 0.500  0.00
Cl3 0.875 0.250 0.625  0.00
Cl4 0.625 0.750 0.875  0.00
Cl5 0.375 0.125 0.750  0.00
Cl6 0.250 0.875 0.125  0.00
Cl7 0.750 0.625 0.375  0.00
Cl8 0.000 0.000 0.500  0.00
Cl9 0.875 0.625 0.750  0.00
Cl10 0.000 0.000 0.000  0.00
Cl11 0.500 0.000 0.000  0.00
Cl12 0.375 0.250 0.125  0.00
Cl13 0.000 0.500 0.500  0.00
Cl14 0.750 0.125 0.875  0.00
Cl15 0.000 0.500 0.000  0.00
Cl16 0.125 0.750 0.375  0.00
Cl17 0.125 0.375 0.250  0.00
Cl18 0.250 0.375 0.625  0.00
Cl19 0.625 0.875 0.250  0.00
Cl20 0.500 0.500 0.000  0.00

***

(8)
# Cs4PbCl6

Crystalline Cs4PbCl6 at its relaxed geometry (GGA-PBE, Alexandria via LeMat-Bulk).

Output
As for the raw formation energy: -1.7818 eV/atom.

abc: 9.595 9.595 9.595
angles: 89.30 89.30 89.30
Element x y z (fractional)
Cl1 0.561 0.426 0.210
Cl2 0.439 0.574 0.790
Cl3 0.290 0.074 0.939
Cl4 0.574 0.790 0.439
Cl5 0.210 0.561 0.426
Cl6 0.926 0.061 0.710
Cl7 0.061 0.710 0.926
Cl8 0.710 0.926 0.061
Cl9 0.790 0.439 0.574
Cl10 0.426 0.210 0.561
Cl11 0.074 0.939 0.290
Cl12 0.939 0.290 0.074
Cs1 0.250 0.879 0.621
Cs2 0.879 0.621 0.250
Cs3 0.379 0.750 0.121
Cs4 0.121 0.379 0.750
Cs5 0.621 0.250 0.879
Cs6 0.750 0.121 0.379
Cs7 0.250 0.250 0.250
Cs8 0.750 0.750 0.750
Pb1 0.500 0.500 0.500
Pb2 0.000 0.000 0.000

***

(9)
# CsPb2Cl5

Crystalline CsPb2Cl5 at its relaxed geometry (GGA-PBE, Alexandria via LeMat-Bulk).

Output
For the offset from the most stable computed form, the calculation gives 0.028 eV per atom. As for the raw formation energy: -1.3630 eV/atom.

abc: 5.602 7.925 7.973
angles: 96.99 92.55 108.81
Element x y z (fractional)
Cl1 0.765 0.692 0.898
Cl2 0.079 0.409 0.264
Cl3 0.117 0.931 0.297
Cl4 0.436 0.039 0.908
Cl5 0.090 0.357 0.787
Pb1 0.982 0.094 0.016
Pb2 0.216 0.678 0.039
Cs1 0.558 0.325 0.535

***

(10)
# Cs2Pb3Cl8

Crystalline Cs2Pb3Cl8 at its relaxed geometry (GGA-PBE, Alexandria via LeMat-Bulk).

Output
As for the raw formation energy: -1.4422 eV/atom.

abc: 7.597 8.853 9.423
angles: 118.02 106.86 90.00
Element x y z (fractional)
Pb1 0.000 0.259 0.000
Pb2 0.500 0.000 0.000
Pb3 0.000 0.741 0.000
Cs1 0.669 0.728 0.456
Cs2 0.331 0.272 0.544
Cl1 0.901 0.100 0.200
Cl2 0.967 0.609 0.217
Cl3 0.391 0.327 0.206
Cl4 0.099 0.900 0.800
Cl5 0.033 0.391 0.783
Cl6 0.609 0.673 0.794
Cl7 0.609 0.120 0.794
Cl8 0.391 0.880 0.206

***

(11)
# CsPb3Cl7

Crystalline CsPb3Cl7 at its relaxed geometry (GGA-PBE, Alexandria via LeMat-Bulk).

Output
As for the raw formation energy: -1.2993 eV/atom.

abc: 7.161 7.528 7.161
angles: 103.41 95.97 103.41
Element x y z (fractional)
Cs1 0.500 0.500 0.500
Pb1 0.230 0.000 0.770
Pb2 0.770 0.000 0.230
Pb3 0.000 0.500 0.000
Cl1 0.036 0.262 0.624
Cl2 0.140 0.220 0.140
Cl3 0.624 0.262 0.036
Cl4 0.860 0.780 0.860
Cl5 0.964 0.738 0.376
Cl6 0.500 0.000 0.500
Cl7 0.376 0.738 0.964

***

(12)
# Cs2Pb2Cl5

Crystalline Cs2Pb2Cl5 at its relaxed geometry (GGA-PBE, Alexandria via LeMat-Bulk).

Output
For the offset from the most stable computed form, the calculation gives 0.064 eV per atom. As for the raw formation energy: -1.3237 eV/atom.

abc: 6.067 8.813 7.450
angles: 111.16 90.00 110.13
Element x y z (fractional)
Cl1 0.826 0.653 0.432
Cl2 0.000 0.000 0.000
Cl3 0.369 0.738 0.137
Cl4 0.631 0.262 0.863
Cl5 0.174 0.347 0.568
Pb1 0.166 0.332 0.922
Pb2 0.834 0.668 0.078
Cs1 0.600 0.200 0.328
Cs2 0.400 0.800 0.672

***

(13)
# CsPb4Cl8

Crystalline CsPb4Cl8 at its relaxed geometry (GGA-PBE, Alexandria via LeMat-Bulk).

Output
For the offset from the most stable computed form, the calculation gives 0.000 eV per atom. As for the raw formation energy: -1.1399 eV/atom.

abc: 9.135 9.135 9.135
angles: 60.00 60.00 60.00
Element x y z (fractional)
Cl1 0.603 0.603 0.603
Cl2 0.568 0.144 0.144
Cl3 0.144 0.144 0.568
Cl4 0.144 0.144 0.144
Cl5 0.144 0.568 0.144
Cl6 0.603 0.192 0.603
Cl7 0.603 0.603 0.192
Cl8 0.192 0.603 0.603
Pb1 0.883 0.372 0.372
Pb2 0.372 0.883 0.372
Pb3 0.372 0.372 0.883
Pb4 0.372 0.372 0.372
Cs1 0.750 0.750 0.750

***

| no. | electronic total energy (eV/atom) |
| --- | --- |
| 1 | -3.324 |
| 2 | -2.436 |
| 3 | -3.298 |
| 4 | -3.445 |
| 5 | -3.552 |
| 6 | -3.292 |
| 7 | -2.455 |
| 8 | -3.437 |
| 9 | -3.551 |
| 10 | -3.566 |
| 11 | -3.563 |
| 12 | -3.363 |
| 13 | -3.483 |